# 1
# Na2GaPb2 PBE-GGA relaxed
# D(E_F)   2.17 states/eV/f.u.
# Density   6065 kg/m3
# Excess energy over the best structure of this formula in the dataset   131 meV per atom
# Space group   P4/mbm, No. 127
data_Na2GaPb2
_symmetry_space_group_name_H-M 'P 1'
_symmetry_Int_Tables_number 1
_cell_length_a 8.967
_cell_length_b 8.967
_cell_length_c 3.610
_cell_angle_alpha 90.00
_cell_angle_beta 90.00
_cell_angle_gamma 90.00
loop_
_symmetry_equiv_pos_as_xyz
'x,y,z'
loop_
_atom_site_label
_atom_site_type_symbol
_atom_site_fract_x
_atom_site_fract_y
_atom_site_fract_z
Pb1 Pb 0.125 0.625 0.500
Pb2 Pb 0.875 0.375 0.500
Ga1 Ga 0.500 0.500 0.000
Pb3 Pb 0.375 0.125 0.500
Na1 Na 0.175 0.325 0.000
Na2 Na 0.325 0.825 0.000
Ga2 Ga 0.000 0.000 0.000
Na3 Na 0.675 0.175 0.000
Pb4 Pb 0.625 0.875 0.500
Na4 Na 0.825 0.675 0.000

# 2
# NaGa2Pb2 PBE-GGA relaxed
# D(E_F)   2.57 states/eV/f.u.
# Density   6717 kg/m3
# Excess energy over the best structure of this formula in the dataset   2 meV per atom
# Space group   I4/mmm, No. 139
data_NaGa2Pb2
_symmetry_space_group_name_H-M 'P 1'
_symmetry_Int_Tables_number 1
_cell_length_a 5.033
_cell_length_b 5.033
_cell_length_c 6.660
_cell_angle_alpha 67.80
_cell_angle_beta 67.80
_cell_angle_gamma 90.00
loop_
_symmetry_equiv_pos_as_xyz
'x,y,z'
loop_
_atom_site_label
_atom_site_type_symbol
_atom_site_fract_x
_atom_site_fract_y
_atom_site_fract_z
Pb1 Pb 0.250 0.750 0.500
Ga1 Ga 0.390 0.390 0.221
Pb2 Pb 0.750 0.250 0.500
Ga2 Ga 0.610 0.610 0.779
Na1 Na 0.000 0.000 0.000

# 3
# Na2Ga2Pb PBE-GGA relaxed
# D(E_F)   2.77 states/eV/f.u.
# Density   5186 kg/m3
# Excess energy over the best structure of this formula in the dataset   0 meV per atom
# Space group   P4/mbm, No. 127
data_Na2Ga2Pb
_symmetry_space_group_name_H-M 'P 1'
_symmetry_Int_Tables_number 1
_cell_length_a 8.030
_cell_length_b 8.030
_cell_length_c 3.899
_cell_angle_alpha 90.00
_cell_angle_beta 90.00
_cell_angle_gamma 90.00
loop_
_symmetry_equiv_pos_as_xyz
'x,y,z'
loop_
_atom_site_label
_atom_site_type_symbol
_atom_site_fract_x
_atom_site_fract_y
_atom_site_fract_z
Pb1 Pb 0.000 0.000 0.000
Pb2 Pb 0.500 0.500 0.000
Na1 Na 0.819 0.319 0.500
Na2 Na 0.319 0.181 0.500
Ga1 Ga 0.385 0.885 0.000
Ga2 Ga 0.115 0.385 0.000
Ga3 Ga 0.615 0.115 0.000
Na3 Na 0.681 0.819 0.500
Ga4 Ga 0.885 0.615 0.000
Na4 Na 0.181 0.681 0.500